Density functional theory data (GGA-PBE) for crystalline AcNd3P4 at its relaxed geometry.

Cell and atoms, written as extended XYZ:
```
8
Lattice="6.002 0.000 0.000 0.000 6.002 0.000 0.000 0.000 6.002" Properties=species:S:1:pos:R:3 pbc="T T T"
P 3.001 0.000 0.000
P 0.000 3.001 0.000
P 0.000 0.000 3.001
P 3.001 3.001 3.001
Ac 0.000 0.000 0.000
Nd 0.000 3.001 3.001
Nd 3.001 0.000 3.001
Nd 3.001 3.001 0.000
```

**DFT formation energy**: -11.874 eV/f.u.
**Space-group type**: Pm-3m (221)
**Volume**: 27.03 A^3/atom



Density functional theory data (GGA-PBE) for crystalline LaTeOs2 at its relaxed geometry.

Cell and atoms, written as extended XYZ:
```
4
Lattice="-2.801 -1.390 -3.118 -3.511 -2.465 1.047 -5.153 3.397 -0.001" Properties=species:S:1:pos:R:3 pbc="T T T"
La -2.708 -0.370 -0.557
Os -4.678 2.700 -0.100
Os -8.917 0.116 -1.489
Te -6.047 0.265 -0.962
```

**Formation energy without anion corrections**: -0.085 eV per atom
**Space-group type**: Cm (8)
**Volume**: 23.56 A^3/atom



Density functional theory data (GGA-PBE) for crystalline Nd6Dy5Y at its relaxed geometry.

Cell and atoms, written as extended XYZ:
```
12
Lattice="-1.510 -11.774 -0.323 3.656 -1.447 -4.897 6.064 -1.359 0.902" Properties=species:S:1:pos:R:3 pbc="T T T"
Nd 1.197 -9.401 -0.347
Nd 3.779 -4.245 -2.634
Nd 0.540 -3.310 -1.310
Nd 1.606 -9.912 -3.909
Nd 4.431 -10.336 -1.684
Nd 7.013 -5.179 -3.971
Dy 3.898 -7.034 -0.376
Dy 3.241 -0.936 -1.331
Dy 1.073 -6.611 -2.610
Dy 6.480 -1.871 -2.664
Dy 4.313 -7.546 -3.942
Y 0.000 0.000 0.000
```

**DFT formation energy**: 0.128 eV/f.u.
**Space-group type**: C2/m (12)
**Volume**: 33.27 A^3/atom
**Excess energy over the best structure of this formula in the dataset**: 0.0000 eV/atom



Density functional theory data (GGA-PBE) for crystalline Ga3SiNi12 at its relaxed geometry.

Cell and atoms, written as extended XYZ:
```
16
Lattice="-1.802 0.346 -3.051 -1.599 -3.126 0.590 -10.515 6.694 6.972" Properties=species:S:1:pos:R:3 pbc="T T T"
Ga -2.606 1.659 1.728
Ga -5.258 3.347 3.486
Ga -7.910 5.035 5.244
Si 0.000 0.000 0.000
Ni -1.701 -1.390 -1.230
Ni -4.289 0.258 0.485
Ni -6.958 1.957 2.255
Ni -9.628 3.657 4.025
Ni -2.153 0.970 -0.696
Ni -4.831 2.675 1.080
Ni -7.487 4.366 2.841
Ni -10.165 6.071 4.617
Ni -2.051 -0.766 1.125
Ni -4.729 0.939 2.900
Ni -7.385 2.630 4.661
Ni -10.063 4.334 6.437
```

**Formation energy without anion corrections**: -0.329 eV per atom
**Space-group type**: P4/mmm (123)
**Volume**: 11.31 A^3/atom



Density functional theory data (GGA-PBE) for crystalline ZnMoW2 at its relaxed geometry.

Cell and atoms, written as extended XYZ:
```
4
Lattice="-5.254 -5.715 5.758 -5.704 -7.044 3.358 -3.436 -7.616 4.860" Properties=species:S:1:pos:R:3 pbc="T T T"
Mo -10.796 -15.281 10.482
W -14.362 -20.329 13.945
W -7.230 -10.234 7.020
Zn -3.599 -5.094 3.494
```

**DFT formation energy**: 1.565 eV/f.u.
**Space-group type**: R-3m (166)
**Volume**: 15.95 A^3/atom



Density functional theory data (GGA-PBE) for crystalline Tb6Pr2Dy at its relaxed geometry.

Cell and atoms, written as extended XYZ:
```
9
Lattice="3.463 0.009 0.625 0.932 8.659 4.590 0.008 -0.275 9.840" Properties=species:S:1:pos:R:3 pbc="T T T"
Tb 3.167 2.973 2.201
Tb 1.541 8.380 11.114
Tb 1.235 5.421 12.854
Tb 2.025 2.493 8.529
Tb 2.861 0.014 3.941
Tb 2.377 5.900 6.526
Pr 3.540 5.506 9.990
Pr 0.863 2.888 5.065
Dy 0.000 0.000 0.000
```

**DFT formation energy**: 0.965 eV/f.u.
**Space-group type**: Immm (71)
**Volume**: 33.24 A^3/atom



| no. | M_tot (μB/atom) |
| --- | --- |
| 1 | 0.0000 |
| 2 | 0.0001 |
| 3 | 0.0000 |
| 4 | 0.1548 |
| 5 | 0.0000 |
| 6 | 0.0000 |